[1]
Below is ZrZnIr2 after structural relaxation, with properties calculated at the PBE-GGA level.

Geometry as POSCAR:
```
ZrZnIr2
1.0
2.808 1.348 -3.255
-4.217 -1.210 -1.022
-2.416 7.540 1.038
Ir Zn Zr
4 2 2
direct
0.333 0.667 0.904
0.667 0.333 0.404
0.667 0.333 0.096
0.333 0.667 0.596
0.667 0.333 0.750
0.333 0.667 0.250
0.000 0.000 0.500
0.000 0.000 0.000
```

Output
E_tot: -0.2654 hartree per atom
E_form: -0.34 eV/atom
spin magnetization: 0.03 μB/cell

***

[2]
Below is ZrIr after structural relaxation, with properties calculated at the PBE-GGA level.

Geometry as POSCAR:
```
ZrIr
1.0
-8.736 -3.005 -9.536
-4.412 -2.607 4.864
-1.989 4.260 0.479
Ir Zr
12 12
direct
0.279 0.635 0.500
0.446 0.211 0.000
0.665 0.115 0.000
0.165 0.635 0.000
0.946 0.539 0.000
0.914 0.810 0.500
0.414 0.940 0.500
0.531 0.810 0.000
0.998 0.211 0.500
0.779 0.115 0.500
0.498 0.539 0.500
0.031 0.940 0.000
0.145 0.945 0.500
0.129 0.265 0.000
0.316 0.265 0.500
0.629 0.485 0.000
0.799 0.805 0.000
0.816 0.485 0.500
0.376 0.556 0.000
0.068 0.556 0.500
0.645 0.805 0.500
0.876 0.194 0.000
0.299 0.945 0.000
0.568 0.194 0.500
```

Output
E_tot: -0.3397 hartree per atom
E_form: -0.54 eV/atom
spin magnetization: 0.04 μB/cell

***

[3]
Below is ZrIr after structural relaxation, with properties calculated at the PBE-GGA level.

Geometry as POSCAR:
```
ZrIr
1.0
0.000 2.996 2.996
2.996 0.000 2.996
2.996 2.996 0.000
Zr Ir
1 1
direct
0.250 0.250 0.250
0.000 0.000 0.000
```

Output
E_tot: -0.3101 hartree per atom
E_form: 0.26 eV/atom
spin magnetization: 0.00 μB/cell

***

[4]
Below is Zr3Ir after structural relaxation, with properties calculated at the PBE-GGA level.

Geometry as POSCAR:
```
Zr3Ir
1.0
5.656 0.000 0.000
0.000 5.700 0.000
0.000 0.000 4.971
Ir Zr
2 6
direct
0.334 0.500 0.500
0.000 0.000 0.000
0.794 0.251 0.500
0.069 0.500 0.000
0.539 0.751 0.000
0.264 0.000 0.500
0.794 0.749 0.500
0.539 0.249 0.000
```

Output
E_tot: -0.3282 hartree per atom
E_form: -0.31 eV/atom
spin magnetization: 0.03 μB/cell

***

[5]
Below is Zr3Ir after structural relaxation, with properties calculated at the PBE-GGA level.

Geometry as POSCAR:
```
Zr3Ir
1.0
5.234 -3.022 0.000
0.000 6.043 0.000
0.000 0.000 5.092
Ir Zr
2 6
direct
0.000 0.000 0.000
0.333 0.667 0.500
0.319 0.159 0.500
0.493 0.985 0.000
0.841 0.681 0.500
0.015 0.507 0.000
0.841 0.159 0.500
0.493 0.507 0.000
```

Output
E_tot: -0.3271 hartree per atom
E_form: -0.28 eV/atom
spin magnetization: 0.04 μB/cell

***

[6]
Below is ZrIr after structural relaxation, with properties calculated at the PBE-GGA level.

Geometry as POSCAR:
```
ZrIr
1.0
2.621 -1.513 0.000
0.000 3.027 0.000
0.000 0.000 4.512
Zr Ir
1 1
direct
0.667 0.333 0.500
0.000 0.000 0.000
```

Output
E_tot: -0.3317 hartree per atom
E_form: -0.33 eV/atom
spin magnetization: 0.00 μB/cell

***

[7]
Below is ZrIr2 after structural relaxation, with properties calculated at the PBE-GGA level.

Geometry as POSCAR:
```
ZrIr2
1.0
5.656 0.000 0.000
0.000 4.055 0.000
0.000 0.000 8.701
Ir Zr
8 4
direct
0.129 0.750 0.423
0.386 0.250 0.250
0.871 0.250 0.577
0.629 0.750 0.077
0.886 0.250 0.250
0.371 0.250 0.923
0.114 0.750 0.750
0.614 0.750 0.750
0.643 0.750 0.397
0.857 0.250 0.897
0.357 0.250 0.603
0.143 0.750 0.103
```

Output
E_tot: -0.3476 hartree per atom
E_form: -0.71 eV/atom
spin magnetization: 0.01 μB/cell

***

[8]
Below is ZrIr after structural relaxation, with properties calculated at the PBE-GGA level.

Geometry as POSCAR:
```
ZrIr
1.0
3.312 0.000 0.000
0.000 3.312 0.000
0.000 0.000 3.312
Ir Zr
1 1
direct
0.000 0.000 0.000
0.500 0.500 0.500
```

Output
E_tot: -0.3479 hartree per atom
E_form: -0.77 eV/atom
spin magnetization: 0.00 μB/cell

***

[9]
Below is ZrIr after structural relaxation, with properties calculated at the PBE-GGA level.

Geometry as POSCAR:
```
ZrIr
1.0
-4.484 1.499 1.646
-2.206 -0.519 -5.536
-1.186 -4.532 0.897
Zr Ir
4 4
direct
0.367 0.500 0.500
0.491 0.226 0.000
0.491 0.774 0.000
0.961 0.500 0.000
0.000 0.000 0.000
0.327 0.000 0.500
0.848 0.229 0.500
0.848 0.771 0.500
```

Output
E_tot: -0.3322 hartree per atom
E_form: -0.34 eV/atom
spin magnetization: 0.01 μB/cell

***

[10]
Below is ZrIr after structural relaxation, with properties calculated at the PBE-GGA level.

Geometry as POSCAR:
```
ZrIr
1.0
-0.732 -1.662 3.394
-1.332 2.112 2.929
-3.636 -0.432 1.187
Ir Zr
1 1
direct
0.000 0.000 0.000
0.500 0.500 0.500
```

Output
E_tot: -0.3371 hartree per atom
E_form: -0.47 eV/atom
spin magnetization: 0.00 μB/cell

***

[11]
Below is ZrIr2 after structural relaxation, with properties calculated at the PBE-GGA level.

Geometry as POSCAR:
```
ZrIr2
1.0
4.039 0.137 1.670
0.703 -1.258 4.128
2.156 -3.716 0.816
Ir Zr
2 1
direct
0.250 0.250 0.250
0.750 0.750 0.750
0.000 0.000 0.000
```

Output
E_tot: -0.3236 hartree per atom
E_form: -0.05 eV/atom
spin magnetization: 0.00 μB/cell

***

[12]
Below is ZrIr after structural relaxation, with properties calculated at the PBE-GGA level.

Geometry as POSCAR:
```
ZrIr
1.0
-0.311 3.402 -3.895
4.598 -5.826 -5.455
-3.993 -1.898 -1.339
Ir Zr
6 6
direct
0.498 0.180 0.000
0.362 0.663 0.500
0.998 0.654 0.000
0.343 0.353 0.500
0.843 0.480 0.500
0.862 0.170 0.500
0.908 0.011 0.000
0.408 0.822 0.000
0.856 0.785 0.500
0.033 0.330 0.000
0.533 0.503 0.000
0.356 0.048 0.500
```

Output
E_tot: -0.3396 hartree per atom
E_form: -0.54 eV/atom
spin magnetization: 0.01 μB/cell